# PrYHoAl

Crystalline PrYHoAl at its relaxed geometry (PBE, the Alexandria database).

Geometry as CIF:
```
data_PrYHoAl
_chemical_formula_sum 'Pr1 Y1 Ho1 Al1'
_space_group_name_H-M_alt 'P 1'
_space_group_IT_number 1
_cell_length_a 3.551
_cell_length_b 3.551
_cell_length_c 9.119
_cell_angle_alpha 90.00
_cell_angle_beta 90.00
_cell_angle_gamma 90.00
loop_
_space_group_symop_operation_xyz
'x,y,z'
loop_
_atom_site_label
_atom_site_type_symbol
_atom_site_fract_x
_atom_site_fract_y
_atom_site_fract_z
Pr1 Pr 0.000 0.000 0.000
Y1 Y 0.500 0.500 0.704
Ho1 Ho 0.500 0.500 0.290
Al1 Al 0.000 0.000 0.495
```

Computed properties:
VASP energy	-5.09	eV/atom
distance to the lowest polymorph of the same formula	0.0000	eV/atom
N(E_F)	0.849	states/eV per atom